Record 1
Here is a relaxed Ta2BeFe crystal from Alexandria via LeMat-Bulk. Energies are from PBE.

Values from the calculation:
The value obtained for the total energy is -0.3337 hartree per atom. The energy of formation from the pure elements comes out at -106 meV/atom. The total moment comes out at 0.000 μB/f.u. The density of states at the Fermi level comes out at 2.77 states/eV/f.u.

a = 3.7599 Å, b = 4.9482 Å, c = 4.9482 Å
α = 37.24°, β = 90.00°, γ = 90.00°
Closest atoms and distances in Å follow each position.
Fractional positions:
Ta 0.0000 0.0000 0.0000  4 Be 2.54, 3 Fe 2.61
Ta 0.5000 0.2866 0.2866  4 Fe 2.53, 3 Be 2.59-2.64
Be 0.5000 0.5678 0.5678  2 Fe 2.37, 7 Ta 2.54-2.64
Fe 0.0000 0.7218 0.7218  2 Be 2.37, 7 Ta 2.53-2.61



Record 2
Here is a relaxed NdSbPb2 crystal from Alexandria via LeMat-Bulk. Energies are from PBE.

Values from the calculation:
The uncorrected formation energy is -1.71 eV per formula unit. The value obtained for the total energy is -0.1656 hartree per atom. The total moment comes out at 0.000 μB/f.u. The offset from the most stable computed form is 0.00 eV per formula unit. The density of states at the Fermi level comes out at 2.38 states/eV/f.u.

a = 4.7018 Å, b = 4.7018 Å, c = 5.3622 Å
α = 90.00°, β = 90.00°, γ = 90.00°
Closest atoms and distances in Å follow each position.
Fractional positions:
Nd 0.0000 0.0000 0.0000  4 Sb 3.32, 8 Pb 3.57
Sb 0.5000 0.5000 0.0000  4 Nd 3.32, 8 Pb 3.57
Pb 0.0000 0.5000 0.5000  4 Pb 3.32, 4 Sb 3.57, 4 Nd 3.57
Pb 0.5000 0.0000 0.5000  4 Pb 3.32, 4 Sb 3.57, 4 Nd 3.57



Record 3
Here is a relaxed CrOsAu2 crystal from Alexandria via LeMat-Bulk. Energies are from PBE.

Values from the calculation:
The value obtained for the total energy is -0.2340 hartree per atom. The energy of formation from the pure elements comes out at 485 meV/atom. The total moment comes out at 2.471 μB/f.u. The offset from the most stable computed form is 1.10 eV per formula unit. The density of states at the Fermi level comes out at 3.67 states/eV/f.u.

a = 4.9320 Å, b = 4.9320 Å, c = 4.8128 Å
α = 99.73°, β = 99.73°, γ = 33.80°
Closest atoms and distances in Å follow each position.
Fractional positions:
Cr 0.0000 0.0000 0.0000  4 Os 2.80, 6 Au 2.81-2.86, 2 Cr 2.87
Os 0.5000 0.5000 0.5000  4 Cr 2.80, 6 Au 2.82-2.85, 2 Os 2.87
Au 0.2473 0.2473 0.7493  6 Au 2.80-2.87, 3 Cr 2.81-2.86, 3 Os 2.82-2.85
Au 0.7527 0.7527 0.2507  6 Au 2.80-2.87, 3 Cr 2.81-2.86, 3 Os 2.82-2.85



Record 4
Here is a relaxed Ac2DyPb crystal from Alexandria via LeMat-Bulk. Energies are from PBE.

Values from the calculation:
The value obtained for the total energy is -0.1586 hartree per atom. The energy of formation from the pure elements comes out at -183 meV/atom. The total moment comes out at 0.000 μB/f.u. The offset from the most stable computed form is 0.16 eV per formula unit. The density of states at the Fermi level comes out at 4.70 states/eV/f.u.

a = 4.4903 Å, b = 4.4903 Å, c = 7.3367 Å
α = 90.00°, β = 90.00°, γ = 90.00°
Closest atoms and distances in Å follow each position.
Fractional positions:
Ac 0.0000 0.0000 0.2345  1 Ac 3.44, 4 Pb 3.61, 4 Dy 3.73
Ac 0.0000 0.0000 0.7655  1 Ac 3.44, 4 Pb 3.61, 4 Dy 3.73
Dy 0.5000 0.5000 0.5000  2 Pb 3.67, 8 Ac 3.73
Pb 0.5000 0.5000 0.0000  8 Ac 3.61, 2 Dy 3.67



Record 5
Here is a relaxed RbZr2Sb2 crystal from Alexandria via LeMat-Bulk. Energies are from PBE.

Values from the calculation:
The uncorrected formation energy is -1.24 eV per formula unit. The value obtained for the total energy is -0.2025 hartree per atom. The total moment comes out at 0.000 μB/f.u. The offset from the most stable computed form is 0.90 eV per formula unit. The density of states at the Fermi level comes out at 4.18 states/eV/f.u.

a = 8.7137 Å, b = 8.7137 Å, c = 3.5492 Å
α = 90.00°, β = 90.00°, γ = 90.00°
Closest atoms and distances in Å follow each position.
Fractional positions:
Rb 0.0000 0.0000 0.0000  4 Zr 3.47, 2 Rb 3.55, 8 Sb 3.72
Rb 0.5000 0.5000 0.0000  4 Zr 3.47, 2 Rb 3.55, 8 Sb 3.72
Zr 0.1199 0.3801 0.0000  1 Zr 2.96, 6 Sb 3.05-3.22
Zr 0.3801 0.8801 0.0000  1 Zr 2.96, 6 Sb 3.05-3.22
Zr 0.6199 0.1199 0.0000  1 Zr 2.96, 6 Sb 3.05-3.22
Zr 0.8801 0.6199 0.0000  1 Zr 2.96, 6 Sb 3.05-3.22
Sb 0.1616 0.6616 0.5000  6 Zr 3.05-3.22
Sb 0.3384 0.1616 0.5000  6 Zr 3.05-3.22
Sb 0.6616 0.8384 0.5000  6 Zr 3.05-3.22
Sb 0.8384 0.3384 0.5000  6 Zr 3.05-3.22



Record 6
Here is a relaxed K2SrBr crystal from Alexandria via LeMat-Bulk. Energies are from PBE.

Values from the calculation:
The uncorrected formation energy is -1.36 eV per formula unit. The value obtained for the total energy is -0.0635 hartree per atom. The total moment comes out at 0.000 μB/f.u. The offset from the most stable computed form is 1.75 eV per formula unit. The density of states at the Fermi level comes out at 2.53 states/eV/f.u.

a = 6.7180 Å, b = 6.7180 Å, c = 6.7180 Å
α = 60.00°, β = 60.00°, γ = 60.00°
Closest atoms and distances in Å follow each position.
Fractional positions:
K 0.0000 0.0000 0.0000  4 K 4.11, 4 Br 4.11
K 0.2500 0.2500 0.2500  4 K 4.11, 4 Sr 4.11
Sr 0.5000 0.5000 0.5000  4 Br 4.11, 4 K 4.11
Br 0.7500 0.7500 0.7500  4 Sr 4.11, 4 K 4.11



Record 7
Here is a relaxed ScSiTc crystal from Alexandria via LeMat-Bulk. Energies are from PBE.

Values from the calculation:
The uncorrected formation energy is -0.81 eV per formula unit. The value obtained for the total energy is -0.2809 hartree per atom. The total moment comes out at 0.002 μB/f.u. The offset from the most stable computed form is 1.39 eV per formula unit. The density of states at the Fermi level comes out at 3.29 states/eV/f.u.

a = 4.2249 Å, b = 4.2249 Å, c = 4.2249 Å
α = 60.00°, β = 60.00°, γ = 60.00°
Closest atoms and distances in Å follow each position.
Fractional positions:
Sc 0.0000 0.0000 0.0000  4 Si 2.59
Si 0.2500 0.2500 0.2500  4 Tc 2.59, 4 Sc 2.59
Tc 0.5000 0.5000 0.5000  4 Si 2.59



Record 8
Here is a relaxed ScTl2Os crystal from Alexandria via LeMat-Bulk. Energies are from PBE.

Values from the calculation:
The value obtained for the total energy is -0.1850 hartree per atom. The energy of formation from the pure elements comes out at 540 meV/atom. The total moment comes out at 0.001 μB/f.u. The offset from the most stable computed form is 1.57 eV per formula unit. The density of states at the Fermi level comes out at 4.34 states/eV/f.u.

a = 9.5282 Å, b = 9.5282 Å, c = 9.5282 Å
α = 19.51°, β = 19.51°, γ = 19.51°
Closest atoms and distances in Å follow each position.
Fractional positions:
Sc 0.0000 0.0000 0.0000  6 Tl 3.13, 6 Sc 3.23
Tl 0.2437 0.2437 0.2437  3 Os 2.85, 3 Sc 3.13
Tl 0.7563 0.7563 0.7563  3 Os 2.85, 3 Sc 3.13
Os 0.5000 0.5000 0.5000  6 Tl 2.85